DFT (GGA-PBE) results for a relaxed structure of LaPaO4.

Geometry as POSCAR:
```
LaPaO4
1.0
3.876 0.000 0.000
0.000 3.876 0.000
0.000 0.000 5.653
La Pa O
1 1 4
Cartesian
0.000 0.000 0.000 La
1.938 1.938 2.826 Pa
0.000 1.938 1.542 O
0.000 1.938 4.111 O
1.938 0.000 1.542 O
1.938 0.000 4.111 O
```

Summary:
DFT total energy = -9.39 eV/atom
Mass density = 8.48 Mg/m³

=====

DFT (GGA-PBE) results for a relaxed structure of NaCaMnW2.

Geometry as POSCAR:
```
NaCaMnW2
1.0
4.523 0.000 0.000
0.000 4.523 0.000
0.000 0.000 5.475
Na Ca Mn W
1 1 1 2
Cartesian
0.000 0.000 0.000 Na
2.261 2.261 0.000 Ca
2.261 2.261 2.738 Mn
0.000 2.261 2.738 W
2.261 0.000 2.738 W
```

Summary:
Energy of formation from the pure elements = 1.194 eV/atom
DFT total energy = -6.49 eV/atom
Mass density = 7.20 Mg/m³

=====

DFT (GGA-PBE) results for a relaxed structure of SmTc2GeC.

Geometry as POSCAR:
```
SmTc2GeC
1.0
1.995 -5.506 0.000
1.995 5.506 0.000
0.000 0.000 7.505
Sm Tc Ge C
2 4 2 2
Cartesian
1.995 5.027 5.629 Sm
1.995 -5.027 1.876 Sm
1.995 1.880 4.191 Tc
1.995 1.880 7.066 Tc
1.995 -1.880 0.439 Tc
1.995 -1.880 3.314 Tc
1.995 2.940 1.876 Ge
1.995 -2.940 5.629 Ge
1.995 0.000 0.000 C
1.995 0.000 3.753 C
```

Summary:
Energy of formation from the pure elements = -0.386 eV/atom
DFT total energy = -8.24 eV/atom
Mass density = 8.68 Mg/m³

=====

DFT (GGA-PBE) results for a relaxed structure of ZnTeSe.

Geometry as POSCAR:
```
ZnTeSe
1.0
4.087 0.000 0.000
-1.865 6.354 0.000
-1.988 -2.200 6.539
Zn Te Se
2 2 2
Cartesian
0.000 0.000 0.000 Zn
-1.995 1.636 5.317 Zn
-1.854 4.407 4.715 Te
2.191 -0.068 3.216 Te
-0.009 1.402 2.007 Se
2.040 3.903 0.152 Se
```

Summary:
DFT total energy = -2.93 eV/atom
Mass density = 5.32 Mg/m³
E above lowest polymorph = 44.2 meV/atom